1.
VASP calculation (PBE) on crystalline DyAl6Cu6 at its relaxed geometry.

Output
**E**: -54.00 eV for the cell shown

abc: 6.6106 6.6106 6.6106
angles: 135.04 99.13 97.68
Fractional positions:
Al (0.3485, 0.3485, 0.0000)
Al (0.6515, 0.6515, 0.0000)
Al (0.3462, 0.0000, 0.3462)
Al (0.7991, 0.2991, 0.5000)
Al (0.2009, 0.7009, 0.5000)
Al (0.6538, 0.0000, 0.6538)
Cu (0.5000, 0.0000, 0.0000)
Cu (0.0000, 0.5000, 0.0000)
Cu (0.7693, 0.5000, 0.2693)
Cu (0.0000, 0.0000, 0.5000)
Cu (0.5000, 0.5000, 0.5000)
Cu (0.2307, 0.5000, 0.7307)
Dy (0.0000, 0.0000, 0.0000)

=====

2.
VASP calculation (PBE) on crystalline PuCoPt at its relaxed geometry.

Output
**Energy of formation from the pure elements**: 0.61 eV/atom

abc: 4.3440 4.3440 4.3440
angles: 60.00 60.00 60.00
Fractional positions:
Co (0.7500, 0.7500, 0.7500)
Pt (0.2500, 0.2500, 0.2500)
Pu (0.0000, 0.0000, 0.0000)

=====

| no. | total magnetization (μB/cell) |
| --- | --- |
| 1 | 0.00 |
| 2 | 0.02 |